No. 1
Tb4HoScS8, optimized geometry, DFT PBE-GGA; total energy = -6.3838 eV per atom; V = 25.82 Å³/atom
1.0
8.000 0.000 0.000
4.000 6.928 0.000
4.000 2.309 6.522
Tb Ho Sc S
4 1 1 8
Cartesian
8.000 4.619 0.818
4.000 4.556 3.282
5.946 1.186 3.282
2.054 1.186 3.282
4.000 2.309 6.458
8.000 4.619 5.703
8.000 6.977 4.895
10.042 3.440 4.895
5.958 3.440 4.895
4.000 2.309 1.663
8.000 2.138 1.672
5.851 5.859 1.672
10.148 5.859 1.672
12.000 6.928 4.724

=====

No. 2
Tb2HoScS4, optimized geometry, DFT PBE-GGA; total energy = -6.5373 eV per atom; V = 20.36 Å³/atom
1.0
-3.140 2.188 0.145
-3.198 -4.813 3.354
3.054 4.093 4.394
Tb Ho Sc S
2 1 1 4
Cartesian
-0.043 3.140 2.270
-0.072 -0.360 3.874
-3.169 -1.313 1.750
0.000 0.000 0.000
-1.613 0.911 1.915
-1.671 0.557 5.978
1.528 1.918 4.162
-1.672 -2.638 3.587

=====

No. 3
TbHo4Sc3S8, optimized geometry, DFT PBE-GGA; total energy = -6.6057 eV per atom; V = 19.76 Å³/atom
1.0
7.653 0.000 0.000
0.000 7.641 -0.015
-3.827 -3.824 5.415
Tb Ho Sc S
1 4 3 8
Cartesian
0.000 3.820 -0.007
3.827 0.000 0.000
1.913 -1.912 2.707
0.000 0.000 0.000
-1.913 -1.912 2.707
3.827 3.820 -0.007
1.913 1.909 2.700
-1.913 1.909 2.700
-1.867 1.881 5.352
0.000 3.746 2.711
0.000 0.070 2.754
1.867 1.881 5.352
1.960 1.936 0.048
3.827 3.747 2.646
3.827 0.071 2.689
5.693 1.936 0.048

=====

No. 4
Tb4Ho3ScS8, optimized geometry, DFT PBE-GGA; total energy = -6.4430 eV per atom; V = 20.74 Å³/atom
1.0
7.762 0.000 0.000
0.000 7.780 0.008
-3.881 -3.877 5.491
Tb Ho Sc S
4 3 1 8
Cartesian
3.881 0.000 0.000
1.940 -1.938 2.745
0.000 0.000 0.000
-1.940 -1.938 2.745
3.881 3.890 0.004
1.940 1.952 2.749
-1.940 1.952 2.749
0.000 3.890 0.004
-1.977 1.899 5.481
0.000 3.874 2.683
0.000 0.029 2.763
1.977 1.899 5.481
1.903 2.005 0.018
3.881 3.874 2.735
3.881 0.029 2.815
5.858 2.005 0.018

=====

No. 5
TbHo2ScS6, optimized geometry, DFT PBE-GGA; total energy = -6.4947 eV per atom; V = 24.35 Å³/atom
1.0
-1.797 -3.731 -5.391
4.722 -2.059 -4.435
1.804 -7.013 -0.034
Tb Ho Sc S
1 2 1 6
Cartesian
3.384 -8.605 -8.031
2.318 -6.115 -5.113
1.765 -6.775 -0.186
1.008 -2.136 -3.144
0.400 -4.429 -4.192
4.479 -4.487 -5.326
1.592 -6.474 -7.704
3.964 -8.321 -5.404
0.656 -8.202 -4.370
3.114 -6.614 -2.509

=====

No. 6
Tb3HoSc2S6, optimized geometry, DFT PBE-GGA; total energy = -6.6063 eV per atom; V = 20.08 Å³/atom
1.0
6.653 -0.011 -0.001
-3.335 5.757 -0.001
-1.108 -1.918 6.299
Tb Ho Sc S
3 1 2 6
Cartesian
-2.254 3.854 3.148
4.465 -0.026 3.148
1.105 1.914 3.148
0.000 0.000 0.000
-0.004 3.834 -0.001
3.323 1.912 -0.001
3.349 1.863 4.800
2.184 3.782 1.476
-1.139 1.964 1.497
-0.060 3.832 4.800
0.027 0.046 4.821
2.271 -0.004 1.497

=====

No. 7
TbHoSc2S4, optimized geometry, DFT PBE-GGA; total energy = -6.7172 eV per atom; V = 19.41 Å³/atom
1.0
-0.076 -3.773 0.093
1.135 -0.183 -6.503
6.507 -0.158 -1.060
Tb Ho Sc S
1 1 2 4
Cartesian
0.529 -1.978 -3.205
3.821 -0.170 -3.781
6.507 -0.158 -1.060
3.216 -1.965 -0.483
5.701 -0.258 -5.774
1.865 -3.856 -1.696
2.436 -2.066 -5.193
5.130 -2.048 -2.277

=====

No. 8
TbHo2Sc3S6, optimized geometry, DFT PBE-GGA; total energy = -6.7174 eV per atom; V = 19.34 Å³/atom
1.0
6.578 -0.011 0.001
-3.297 5.692 0.001
-1.094 -1.894 6.206
Tb Ho Sc S
1 2 3 6
Cartesian
0.000 0.000 0.000
-0.003 3.789 0.001
3.284 1.891 0.001
-2.213 3.803 3.104
4.400 -0.017 3.104
1.093 1.893 3.104
3.294 1.874 4.558
2.179 3.773 1.645
-1.108 1.912 1.649
-0.023 3.790 4.558
0.008 0.013 4.562
2.210 -0.004 1.649

=====

No. 9
Tb2HoScS6, optimized geometry, DFT PBE-GGA; total energy = -6.5006 eV per atom; V = 24.47 Å³/atom
1.0
-6.808 -0.329 0.198
-3.108 -3.334 5.072
-3.458 3.898 5.028
Tb Ho Sc S
2 1 1 6
Cartesian
-6.678 -0.191 4.953
-3.450 3.626 4.855
-10.000 -0.847 7.070
-3.311 -1.013 1.889
-5.586 0.086 2.457
-5.230 -2.221 6.084
-9.131 -1.312 4.480
-7.702 0.480 7.469
-7.763 2.354 4.533
-4.716 1.509 5.997

=====

No. 10
HoScTeS, optimized geometry, DFT PBE-GGA; total energy = -6.1195 eV per atom; V = 22.88 Å³/atom
1.0
-0.418 -3.467 -1.732
1.134 0.194 3.725
-6.747 2.032 1.948
Ho Sc Te S
1 1 1 1
Cartesian
0.543 -0.036 3.501
-4.502 -0.357 0.973
-2.503 -2.542 0.479
-5.310 0.821 3.197

=====

No. 11
Ho2ScTe2S2, optimized geometry, DFT PBE-GGA; total energy = -5.7074 eV per atom; V = 25.40 Å³/atom
1.0
4.763 0.000 0.000
0.000 4.763 0.000
-2.381 -2.381 7.839
Ho Sc Te S
2 1 2 2
Cartesian
0.000 0.000 6.025
2.381 2.381 1.813
0.000 0.000 0.000
0.000 0.000 2.909
2.381 2.381 4.930
0.000 2.381 0.000
2.381 0.000 0.000

=====

No. 12
Ho2ThScS4, optimized geometry, DFT PBE-GGA; total energy = -6.7993 eV per atom; V = 20.83 Å³/atom
1.0
3.860 0.000 0.000
0.000 6.790 0.151
0.000 -2.339 6.305
Ho Th Sc S
2 1 1 4
Cartesian
1.930 -1.170 3.153
0.000 2.225 3.228
1.930 3.395 0.075
0.000 0.000 0.000
1.930 1.026 1.585
1.930 3.425 4.870
0.000 -0.150 4.725
0.000 4.600 1.731

=====

No. 13
HoThSc2S4, optimized geometry, DFT PBE-GGA; total energy = -7.0004 eV per atom; V = 19.95 Å³/atom
1.0
-2.850 -2.053 1.445
3.477 -5.618 -1.126
3.690 -1.366 5.337
Ho Th Sc S
1 1 2 4
Cartesian
3.584 -3.492 2.106
0.314 -3.836 0.160
3.690 -1.366 5.337
0.420 -1.710 3.391
5.406 -5.361 3.045
-1.088 -3.677 2.611
2.176 -5.693 1.192
2.142 -3.345 4.464

=====

No. 14
Ho2Th3ScS6, optimized geometry, DFT PBE-GGA; total energy = -7.0760 eV per atom; V = 21.56 Å³/atom
1.0
-2.781 1.147 -2.427
-5.557 -1.860 5.489
3.709 7.767 2.500
Ho Th Sc S
2 3 1 6
Cartesian
-3.555 4.912 3.318
-1.074 2.142 2.243
-4.169 -0.356 1.531
-0.775 5.812 0.557
-3.854 1.243 5.004
-1.390 0.574 -1.213
-3.472 4.009 5.874
-3.775 2.369 2.368
-1.157 3.045 -0.313
-1.262 -0.378 1.267
-3.367 7.433 4.294
-0.854 4.685 3.193

=====

No. 15
HoSc2Tl3S6, optimized geometry, DFT PBE-GGA; total energy = -5.4971 eV per atom; V = 24.40 Å³/atom
1.0
-3.676 -4.438 -3.448
-1.029 0.810 6.586
-3.503 6.533 -2.493
Ho Sc Tl S
1 2 3 6
Cartesian
0.000 0.000 0.000
-1.911 -0.939 3.241
-2.794 -2.688 -0.103
-3.215 3.215 3.692
-4.993 -0.309 -3.046
-4.104 1.453 0.323
-6.878 1.602 -1.352
-4.041 -1.366 1.780
-1.330 1.304 1.997
-5.964 3.415 2.116
-4.167 4.271 -1.134
-2.244 -0.510 -1.470

=====

No. 16
Ho2ScTl3S6, optimized geometry, DFT PBE-GGA; total energy = -5.3911 eV per atom; V = 25.31 Å³/atom
1.0
-4.911 1.615 -4.468
-0.531 -5.688 3.748
-1.782 5.214 5.585
Ho Sc Tl S
2 1 3 6
Cartesian
-1.991 -3.254 1.009
-3.451 -0.820 -1.729
0.000 0.000 0.000
-2.160 -1.852 5.157
-5.065 2.993 -0.292
-3.612 0.570 2.433
-6.358 2.224 2.628
-4.395 -2.006 0.559
-0.866 -1.084 2.237
-4.951 -0.123 5.268
-2.829 3.147 4.306
-2.274 1.263 -0.403

=====

No. 17
HoTmSc2S4, optimized geometry, DFT PBE-GGA; total energy = -6.6817 eV per atom; V = 19.09 Å³/atom
1.0
-1.487 2.651 -2.212
0.701 -3.931 -5.184
-5.430 -3.638 -0.710
Ho Tm Sc S
1 1 2 4
Cartesian
-0.393 -0.640 -3.698
-2.364 -3.785 -2.947
-5.430 -3.638 -0.710
-3.459 -0.493 -1.461
-3.504 -5.705 -4.483
-2.712 0.787 -3.623
-1.557 -2.570 -5.229
-4.659 -2.348 -2.877

=====

No. 18
Ho3TmSc3S8, optimized geometry, DFT PBE-GGA; total energy = -6.6645 eV per atom; V = 20.48 Å³/atom
1.0
-4.851 -1.331 5.622
2.032 -5.596 -4.634
5.021 2.776 4.990
Ho Tm Sc S
3 1 3 8
Cartesian
0.000 0.000 0.000
1.016 -2.798 -2.317
-1.410 -3.464 0.494
2.511 1.388 2.495
0.085 0.723 5.306
1.101 -2.076 2.989
3.526 -1.410 0.178
1.123 -2.456 0.388
1.079 -1.695 5.591
-1.332 -3.052 3.189
3.534 -1.099 2.789
-2.319 -0.334 5.440
4.521 -3.817 0.538
0.037 0.313 2.709
2.165 -4.464 3.269

=====

No. 19
Ho2TmScS6, optimized geometry, DFT PBE-GGA; total energy = -6.4826 eV per atom; V = 23.97 Å³/atom
1.0
6.761 0.001 0.000
3.381 5.855 0.000
3.381 1.952 6.055
Ho Tm Sc S
2 1 1 6
Cartesian
6.762 3.904 2.690
3.381 1.952 5.752
10.142 5.856 3.318
3.380 1.952 0.245
5.615 1.739 1.529
5.459 5.979 1.529
9.210 3.994 1.529
7.815 5.616 4.592
7.717 2.134 4.592
4.751 3.961 4.592

=====

No. 20
HoTm2Sc3S6, optimized geometry, DFT PBE-GGA; total energy = -6.6771 eV per atom; V = 19.03 Å³/atom
1.0
3.773 0.000 0.000
0.000 7.562 0.284
-1.887 -2.167 7.923
Ho Tm Sc S
1 2 3 6
Cartesian
1.887 0.000 0.000
1.887 3.602 5.478
0.000 1.793 2.728
1.887 3.781 0.142
1.887 -0.191 5.342
0.000 5.586 2.865
0.000 5.539 5.487
1.887 3.738 2.776
1.887 -0.144 2.720
1.887 -0.202 7.962
0.000 5.597 0.245
0.000 1.657 5.430

=====

No. 21
Ho4Tm3ScS8, optimized geometry, DFT PBE-GGA; total energy = -6.3787 eV per atom; V = 20.14 Å³/atom
1.0
-2.761 6.791 2.314
-4.471 -3.574 5.154
7.584 -1.258 -0.027
Ho Tm Sc S
4 3 1 8
Cartesian
-1.381 3.396 1.157
2.411 2.766 1.143
0.000 0.000 0.000
3.792 -0.629 -0.013
-3.616 1.609 3.734
0.176 0.979 3.720
1.556 -2.416 2.564
-2.235 -1.787 2.577
3.565 -2.242 4.368
-0.276 -1.605 4.381
1.982 0.166 1.879
2.167 1.198 5.540
-1.815 0.761 1.901
-1.631 1.793 5.562
0.628 3.564 3.060
-3.214 4.201 3.073

=====

| no. | theoretical density (g/cm3) |
| --- | --- |
| 1 | 5.1 |
| 2 | 6.7 |
| 3 | 6.4 |
| 4 | 7.2 |
| 5 | 5.0 |
| 6 | 6.4 |
| 7 | 5.8 |
| 8 | 5.8 |
| 9 | 4.9 |
| 10 | 6.7 |
| 11 | 6.5 |
| 12 | 7.3 |
| 13 | 6.4 |
| 14 | 8.1 |
| 15 | 6.0 |
| 16 | 6.5 |
| 17 | 6.0 |
| 18 | 5.7 |
| 19 | 5.1 |
| 20 | 6.0 |
| 21 | 7.6 |